[1]
This record from Alexandria describes an optimized crystal structure of MnAlW2. The functional is GGA-PBE.

- DFT total energy (eV/cell) = -38.6
- N(E_F) (states/eV/cell) = 3.1
- symmetry = No. 44
- energy of formation (eV per atom) = 0.04

extended XYZ file:
```
4
Lattice="5.039 -0.001 0.003 2.214 4.527 -0.003 -3.167 -2.999 2.523" Properties=species:S:1:pos:R:3 pbc="T T T"
Al 3.540 2.209 0.000
W 2.807 -0.332 1.263
Mn 1.297 1.871 1.260
W 0.068 0.042 0.000
```

=====

[2]
This record from Alexandria describes an optimized crystal structure of MnAlW. The functional is GGA-PBE.

- DFT total energy (eV/cell) = -25.0
- N(E_F) (states/eV/cell) = 4.0
- symmetry = No. 216
- energy of formation (eV per atom) = 0.29
- energy above the most stable polymorph in this dataset (eV per formula unit) = 1.29

extended XYZ file:
```
3
Lattice="-2.957 -1.526 2.319 -3.253 -1.704 -1.721 -0.541 -4.014 0.217" Properties=species:S:1:pos:R:3 pbc="T T T"
Mn -5.063 -5.432 0.611
W 0.000 0.000 0.000
Al -3.375 -3.621 0.407
```

=====

[3]
This record from Alexandria describes an optimized crystal structure of MnAlW3. The functional is GGA-PBE.

- DFT total energy (eV/cell) = -41.0
- N(E_F) (states/eV/cell) = 8.1
- symmetry = No. 221
- energy of formation (eV per atom) = 2.15
- energy above the most stable polymorph in this dataset (eV per formula unit) = 4.47

extended XYZ file:
```
5
Lattice="4.472 0.000 0.000 0.000 4.472 0.000 0.000 0.000 4.472" Properties=species:S:1:pos:R:3 pbc="T T T"
W 2.236 0.000 0.000
W 0.000 0.000 2.236
W 0.000 2.236 0.000
Al 0.000 0.000 0.000
Mn 2.236 2.236 2.236
```

=====

[4]
This record from Alexandria describes an optimized crystal structure of MnAlW2. The functional is GGA-PBE.

- DFT total energy (eV/cell) = -38.8
- N(E_F) (states/eV/cell) = 2.3
- symmetry = No. 35
- energy of formation (eV per atom) = 0.01

extended XYZ file:
```
4
Lattice="2.717 0.057 0.000 -0.834 2.586 0.000 0.000 0.000 8.365" Properties=species:S:1:pos:R:3 pbc="T T T"
W 0.000 0.000 8.235
W 0.941 1.322 2.127
Al 0.000 0.000 4.315
Mn 0.941 1.322 6.237
```

=====

[5]
This record from Alexandria describes an optimized crystal structure of MnAlW2. The functional is GGA-PBE.

- DFT total energy (eV/cell) = -38.6
- N(E_F) (states/eV/cell) = 2.6
- symmetry = No. 216
- energy of formation (eV per atom) = 0.05

extended XYZ file:
```
4
Lattice="-0.335 -3.183 2.970 -2.367 -3.563 -0.876 1.986 -3.830 -0.670" Properties=species:S:1:pos:R:3 pbc="T T T"
W -0.179 -2.644 0.356
Al -0.358 -5.288 0.712
W 0.000 0.000 0.000
Mn -0.537 -7.931 1.068
```

=====

[6]
This record from Alexandria describes an optimized crystal structure of MnAlW2. The functional is GGA-PBE.

- DFT total energy (eV/cell) = -38.4
- N(E_F) (states/eV/cell) = 2.3
- symmetry = No. 47
- energy of formation (eV per atom) = 0.10

extended XYZ file:
```
4
Lattice="2.674 0.000 0.000 0.000 4.145 0.000 0.000 0.000 5.329" Properties=species:S:1:pos:R:3 pbc="T T T"
Mn 1.337 2.073 3.997
W 0.000 0.000 2.662
Al 1.337 2.073 1.332
W 0.000 0.000 0.003
```